The following is a DFT calculation (PBE+U) of a relaxed structure of HW3F.

Unit cell a=4.094 b=4.094 c=4.094 alpha=90.00 beta=90.00 gamma=90.00
Atoms (fractional coordinates):
1 H 0.000 0.000 0.000
2 W 0.000 0.500 0.000
3 W 0.000 0.000 0.500
4 W 0.500 0.000 0.000
5 F 0.500 0.500 0.500

Results
ΔE to the lowest computed polymorph   0.000 kcal/mol of atoms
Space-group type   Pm-3m (221)